# 1
A plane-wave DFT calculation with GGA-PBE was carried out for a relaxed BeFe2Cl crystal.

a b c (Å): 2.944 2.944 6.752
angles (deg): 90.00 90.00 90.00
Last column: magnetic moment on the atom in μB.
Positions (direct):
Be  0.000  0.000  0.453  -0.06
Fe  0.000  0.000  0.107  2.95
Fe  0.500  0.500  0.290  1.93
Cl  0.500  0.500  0.650  0.01

## Properties
E = -5.435 eV per atom
Formation energy (no corrections) = 189 meV/atom
Magnetization = 4.86 μB/cell
Space-group type = P4mm (99)


# 2
A plane-wave DFT calculation with GGA-PBE was carried out for a relaxed SrLi2GeCl6 crystal.

a b c (Å): 8.010 8.491 8.491
angles (deg): 73.20 71.69 71.69
Positions (direct):
Cl  0.579  0.085  0.622
Cl  0.079  0.622  0.085
Cl  0.663  0.809  0.992
Cl  0.337  0.191  0.008
Cl  0.163  0.992  0.809
Cl  0.047  0.723  0.547
Cl  0.921  0.378  0.915
Cl  0.453  0.453  0.277
Cl  0.953  0.277  0.453
Cl  0.837  0.008  0.191
Cl  0.421  0.915  0.378
Cl  0.547  0.547  0.723
Li  0.790  0.641  0.753
Li  0.710  0.247  0.359
Li  0.210  0.359  0.247
Li  0.290  0.753  0.641
Ge  0.250  0.261  0.739
Ge  0.750  0.739  0.261
Sr  0.250  0.816  0.184
Sr  0.750  0.184  0.816

## Properties
E = -3.774 eV per atom
Formation energy (no corrections) = -1654 meV/atom
Magnetization = 0.00 μB/cell
Space-group type = C2/c (15)


# 3
A plane-wave DFT calculation with GGA-PBE was carried out for a relaxed V2ZnSe6 crystal.

a b c (Å): 6.003 6.003 10.824
angles (deg): 90.00 90.00 90.00
Last column: magnetic moment on the atom in μB.
Positions (direct):
Se  0.296  0.296  0.322  -0.09
Se  0.796  0.204  0.822  -0.09
Se  0.796  0.204  0.178  -0.09
Se  0.204  0.796  0.178  -0.09
Se  0.798  0.202  0.500  -0.06
Se  0.204  0.796  0.822  -0.09
Se  0.202  0.798  0.500  -0.06
Se  0.702  0.702  0.000  -0.06
Se  0.704  0.704  0.678  -0.09
Se  0.296  0.296  0.678  -0.09
Se  0.298  0.298  0.000  -0.06
Se  0.704  0.704  0.322  -0.09
Zn  0.000  0.000  0.000  0.01
Zn  0.500  0.500  0.500  0.01
V  0.500  0.500  0.845  0.55
V  0.500  0.500  0.155  0.55
V  0.000  0.000  0.345  0.55
V  0.000  0.000  0.655  0.55

## Properties
E = -4.857 eV per atom
Formation energy (no corrections) = -366 meV/atom
Magnetization = 1.18 μB/cell
Space-group type = P4_2/mnm (136)


# 4
A plane-wave DFT calculation with GGA-PBE was carried out for a relaxed CsLiSiTe3 crystal.

a b c (Å): 7.755 7.755 8.344
angles (deg): 95.57 95.57 66.20
Positions (direct):
Te  0.361  0.851  0.240
Te  0.149  0.639  0.760
Te  0.852  0.852  0.278
Te  0.851  0.361  0.240
Te  0.148  0.148  0.722
Te  0.639  0.149  0.760
Si  0.983  0.983  0.857
Si  0.017  0.017  0.143
Li  0.827  0.173  0.500
Li  0.173  0.827  0.500
Cs  0.345  0.345  0.149
Cs  0.655  0.655  0.851

## Properties
E = -3.471 eV per atom
Formation energy (no corrections) = -535 meV/atom
Magnetization = 0.00 μB/cell
Space-group type = C2/m (12)


# 5
A plane-wave DFT calculation with GGA-PBE was carried out for a relaxed VCo2Pd crystal.

a b c (Å): 3.588 3.707 3.707
angles (deg): 90.00 90.00 90.00
Last column: magnetic moment on the atom in μB.
Positions (direct):
Co  0.000  0.500  0.000  0.92
Co  0.000  0.000  0.500  0.92
Pd  0.500  0.500  0.500  0.07
V  0.500  0.000  0.000  -0.93

## Properties
E = -7.243 eV per atom
Magnetization = 0.82 μB/cell
Space-group type = P4/mmm (123)
DFT formation energy = -0.112 eV/atom


# 6
A plane-wave DFT calculation with GGA-PBE was carried out for a relaxed SmGdAlCu crystal.

a b c (Å): 5.122 5.122 5.122
angles (deg): 60.00 60.00 60.00
Last column: magnetic moment on the atom in μB.
Positions (direct):
Al  0.000  0.000  0.000  0.00
Cu  0.500  0.500  0.500  0.05
Gd  0.250  0.250  0.250  7.13
Sm  0.750  0.750  0.750  0.10

## Properties
E = -6.913 eV per atom
Magnetization = 7.63 μB/cell
Space-group type = F-43m (216)
DFT formation energy = -0.254 eV/atom


# 7
A plane-wave DFT calculation with GGA-PBE was carried out for a relaxed TiAuN crystal.

a b c (Å): 3.238 5.691 10.127
angles (deg): 90.00 90.00 90.00
Positions (direct):
Au  0.750  0.926  0.689
Au  0.250  0.574  0.189
Au  0.250  0.074  0.311
Au  0.750  0.426  0.811
N  0.250  0.398  0.585
N  0.750  0.102  0.085
N  0.250  0.898  0.915
N  0.750  0.602  0.415
Ti  0.250  0.705  0.504
Ti  0.750  0.795  0.004
Ti  0.250  0.205  0.996
Ti  0.750  0.295  0.496

## Properties
E = -7.079 eV per atom
Formation energy (no corrections) = -580 meV/atom
Magnetization = 0.00 μB/cell
Space-group type = Pnma (62)


# 8
A plane-wave DFT calculation with GGA-PBE was carried out for a relaxed La2DyBr crystal.

a b c (Å): 3.649 3.649 9.771
angles (deg): 90.00 90.00 90.00
Positions (direct):
La  0.000  0.000  0.766
La  0.000  0.000  0.234
Br  0.500  0.500  0.000
Dy  0.500  0.500  0.500

## Properties
E = -4.531 eV per atom
Formation energy (no corrections) = -499 meV/atom
Magnetization = 0.00 μB/cell
Space-group type = P4/mmm (123)


# 9
A plane-wave DFT calculation with GGA-PBE was carried out for a relaxed SmErMnZn crystal.

a b c (Å): 5.045 5.045 5.045
angles (deg): 60.00 60.00 60.00
Last column: magnetic moment on the atom in μB.
Positions (direct):
Sm  0.750  0.750  0.750  -0.19
Er  0.250  0.250  0.250  -0.27
Zn  0.000  0.000  0.000  -0.03
Mn  0.500  0.500  0.500  3.41

## Properties
E = -4.962 eV per atom
Magnetization = 2.95 μB/cell
Space-group type = F-43m (216)
DFT formation energy = -0.031 eV/atom


# 10
A plane-wave DFT calculation with GGA-PBE was carried out for a relaxed TmScMnCu crystal.

a b c (Å): 4.745 4.745 4.745
angles (deg): 60.00 60.00 60.00
Last column: magnetic moment on the atom in μB.
Positions (direct):
Mn  0.750  0.750  0.750  3.01
Cu  0.250  0.250  0.250  0.00
Sc  0.500  0.500  0.500  -0.25
Tm  0.000  0.000  0.000  -0.15

## Properties
E = -6.017 eV per atom
Magnetization = 2.58 μB/cell
Space-group type = F-43m (216)
DFT formation energy = 0.000 eV/atom


# 11
A plane-wave DFT calculation with GGA-PBE was carried out for a relaxed Ba5Na2I12 crystal.

a b c (Å): 8.856 10.664 11.233
angles (deg): 105.35 90.00 114.53
Positions (direct):
I  0.430  0.345  0.094
I  0.570  0.655  0.906
I  0.098  0.693  0.429
I  0.010  0.020  0.801
I  0.902  0.307  0.571
I  0.405  0.307  0.571
I  0.915  0.345  0.094
I  0.497  0.994  0.787
I  0.595  0.693  0.429
I  0.990  0.980  0.199
I  0.085  0.655  0.906
I  0.503  0.006  0.213
Ba  0.683  0.366  0.846
Ba  0.692  0.384  0.346
Ba  0.000  0.000  0.500
Ba  0.308  0.616  0.654
Ba  0.317  0.634  0.154
Na  0.760  0.000  0.000
Na  0.240  0.000  0.000

## Properties
E = -3.273 eV per atom
Formation energy (no corrections) = -1649 meV/atom
Magnetization = 0.00 μB/cell
Space-group type = C2/m (12)